The following is a DFT calculation (PBE) of crystalline Mg2TlIrPb at its relaxed geometry.

Cell and atoms, written as extended XYZ:
```
5
Lattice="5.1272 0.0000 0.0000 0.0000 5.1272 0.0000 0.0000 0.0000 5.1783" Properties=species:S:1:pos:R:3 pbc="T T T"
Mg 0.0000 2.5636 0.0000
Mg 2.5636 0.0000 0.0000
Tl 0.0000 0.0000 2.5891
Ir 2.5636 2.5636 0.0000
Pb 2.5636 2.5636 2.5891
```

Crystal system: tetragonal
Formation energy from the elements in kJ per mole of atoms: -4.3
SG: P4/mmm

=====

The following is a DFT calculation (PBE) of crystalline Y2MgIrPb at its relaxed geometry.

Cell and atoms, written as extended XYZ:
```
5
Lattice="5.3347 0.0000 0.0000 0.0000 5.3347 0.0000 0.0000 0.0000 5.0414" Properties=species:S:1:pos:R:3 pbc="T T T"
Y 0.0000 2.6673 0.0000
Y 2.6673 0.0000 0.0000
Mg 0.0000 0.0000 2.5207
Ir 0.0000 0.0000 0.0000
Pb 2.6673 2.6673 2.5207
```

Crystal system: tetragonal
Formation energy from the elements in kJ per mole of atoms: -35.6
SG: P4/mmm

=====

Copy entry 2 word for word.
The following is a DFT calculation (PBE) of crystalline Y2MgIrPb at its relaxed geometry.

Cell and atoms, written as extended XYZ:
```
5
Lattice="5.3347 0.0000 0.0000 0.0000 5.3347 0.0000 0.0000 0.0000 5.0414" Properties=species:S:1:pos:R:3 pbc="T T T"
Y 0.0000 2.6673 0.0000
Y 2.6673 0.0000 0.0000
Mg 0.0000 0.0000 2.5207
Ir 0.0000 0.0000 0.0000
Pb 2.6673 2.6673 2.5207
```

Crystal system: tetragonal
Formation energy from the elements in kJ per mole of atoms: -35.6
SG: P4/mmm